Compound: NpMn3Se6
Source: the Alexandria database
Functional: PBE
Structure: optimized geometry

Lattice parameters (Å, degrees): 10.7924 3.8919 10.9401 90.00 109.80 90.00
With the nearest neighbours (Å) after each atom.
Space group P2_1/m (No. 11)
Inequivalent atoms, fractional coordinates:
Np (0.0522, 0.2500, 0.2009) (multiplicity 2)  8 Se 2.86-2.99
Mn (0.1665, 0.2500, 0.5844) (multiplicity 2)  6 Se 2.55-2.67
Mn (0.3265, 0.7500, 0.9950) (multiplicity 2)  5 Se 2.56-2.80
Mn (0.4390, 0.2500, 0.3395) (multiplicity 2)  6 Se 2.61-2.67
Se (0.0731, 0.7500, 0.4107) (multiplicity 2)  3 Mn 2.60-2.67
Se (0.1199, 0.2500, 0.9617) (multiplicity 2)  3 Np 2.86-2.95, 2 Mn 2.89
Se (0.2004, 0.7500, 0.7429) (multiplicity 2)  3 Mn 2.55-2.63
Se (0.2692, 0.7500, 0.2265) (multiplicity 2)  3 Mn 2.67-2.80, 2 Np 2.98
Se (0.3957, 0.2500, 0.5603) (multiplicity 2)  4 Mn 2.57-2.62
Se (0.4726, 0.2500, 0.1134) (multiplicity 2)  4 Mn 2.56-2.80

Raw formation energy: -0.590 eV/atom
E_tot: -6.7253 eV/atom
Fermi-level density of states: 11.72 states/eV/f.u.


Compound: MgNb2CoPb
Source: the Alexandria database
Functional: PBE
Structure: optimized geometry

Lattice parameters (Å, degrees): 4.8073 4.8073 4.9610 90.00 90.00 90.00
With the nearest neighbours (Å) after each atom.
Space group P4/mmm (No. 123)
Inequivalent atoms, fractional coordinates:
Mg (0.0000, 0.0000, 0.0000) (multiplicity 1)  4 Nb 2.40, 2 Pb 2.48
Nb (0.0000, 0.5000, 0.0000) (multiplicity 2)  2 Mg 2.40
Co (0.5000, 0.5000, 0.5000) (multiplicity 1)  4 Pb 3.40, 8 Nb 3.45
Pb (0.0000, 0.0000, 0.5000) (multiplicity 1)  2 Mg 2.48

Calculated formation energy: 9.6 eV per formula unit
E_tot: -4.5942 eV/atom
Fermi-level density of states: 7.78 states/eV/f.u.